1.
A plane-wave DFT calculation with GGA-PBEsol was carried out for a relaxed structure of Be5Cu3.

a = 3.6966 Å, b = 4.5513 Å, c = 4.5513 Å
α = 108.89°, β = 90.00°, γ = 90.00°
With the nearest neighbours (Å) after each atom.
Sites, in units of the cell vectors:
1 Be 0.0000 0.5000 0.0000  6 Cu 2.27-2.28, 2 Be 2.28
2 Cu 0.5000 0.2479 0.7521  8 Be 2.24-2.31
3 Cu 0.0000 0.5000 0.5000  8 Be 2.28-2.29
4 Be 0.0000 0.0000 0.5000  6 Cu 2.27-2.28, 2 Be 2.28
5 Be 0.5000 0.7562 0.7562  6 Cu 2.24-2.31, 2 Be 2.25
6 Be 0.5000 0.2438 0.2438  6 Cu 2.24-2.31, 2 Be 2.25
7 Be 0.0000 0.0000 0.0000  8 Be 2.25-2.28
8 Cu 0.5000 0.7521 0.2479  8 Be 2.24-2.31

## Properties
Formation energy   -0.7 eV per formula unit
Fermi-level density of states   1.75 states/eV/cell
ΔE to the lowest computed polymorph   0.003 eV per atom
Space group   Cmmm, No. 65
Calculated density   5.402 g cm⁻³

2.
A plane-wave DFT calculation with GGA-PBEsol was carried out for a relaxed structure of CdP3.

a = 3.0531 Å, b = 5.1393 Å, c = 5.1393 Å
α = 85.08°, β = 72.72°, γ = 72.72°
With the nearest neighbours (Å) after each atom.
Sites, in units of the cell vectors:
1 P 0.4949 0.3050 0.7052  2 P 2.32
2 P 0.8419 0.6581 0.6581  4 P 2.32
3 P 0.4949 0.7052 0.3050  2 P 2.32
4 Cd 0.8350 0.1650 0.1650  6 P 2.74-2.81, 2 Cd 3.05

## Properties
Formation energy   1.1 eV per formula unit
Fermi-level density of states   0.99 states/eV/cell
ΔE to the lowest computed polymorph   0.289 eV per atom
Space group   Imm2, No. 44
Calculated density   4.637 g cm⁻³

3.
A plane-wave DFT calculation with GGA-PBEsol was carried out for a relaxed structure of K2NaGaP2.

a = 6.3446 Å, b = 6.5582 Å, c = 8.5086 Å
α = 112.67°, β = 111.89°, γ = 90.00°
With the nearest neighbours (Å) after each atom.
Sites, in units of the cell vectors:
1 Na 0.7500 0.0000 0.0000  4 P 2.86, 2 Na 3.17
2 Ga 0.7500 0.5000 0.0000  4 P 2.45
3 P 0.5927 0.7918 0.1855  2 Ga 2.45
4 P 0.9073 0.6063 0.8145  2 Ga 2.45
5 Ga 0.2500 0.5000 0.0000  4 P 2.45
6 K 0.1744 0.9286 0.3488  4 P 3.20-3.40, 2 Na 3.37, 2 Ga 3.40
7 K 0.8256 0.0714 0.6512  4 P 3.20-3.40, 2 Na 3.37, 2 Ga 3.40
8 K 0.3256 0.5798 0.6512  4 P 3.20-3.40, 2 Na 3.37, 2 Ga 3.40
9 Na 0.2500 0.0000 0.0000  4 P 2.86, 2 Na 3.17
10 P 0.4073 0.2082 0.8145  2 Ga 2.45
11 P 0.0927 0.3937 0.1855  2 Ga 2.45
12 K 0.6744 0.4202 0.3488  4 P 3.20-3.40, 2 Na 3.37, 2 Ga 3.40

## Properties
Formation energy   -2.7 eV per formula unit
Space group   Ibam, No. 72
Calculated density   2.588 g cm⁻³

4.
A plane-wave DFT calculation with GGA-PBEsol was carried out for a relaxed structure of YAl3.

a = 3.1645 Å, b = 3.1645 Å, c = 9.2836 Å
α = 90.00°, β = 90.00°, γ = 120.00°
With the nearest neighbours (Å) after each atom.
Sites, in units of the cell vectors:
1 Al 0.0000 0.0000 0.7722  3 Al 2.80, 3 Y 3.12
2 Al 0.3333 0.6667 0.0000  6 Al 2.80
3 Al 0.0000 0.0000 0.2278  3 Al 2.80, 3 Y 3.12
4 Y 0.3333 0.6667 0.5000  6 Al 3.12, 6 Y 3.16

## Properties
Formation energy   0.0 eV per formula unit
Fermi-level density of states   2.99 states/eV/cell
Space group   P-6m2, No. 187
Calculated density   3.503 g cm⁻³

5.
A plane-wave DFT calculation with GGA-PBEsol was carried out for a relaxed structure of Co2AgPd2.

a = 3.2387 Å, b = 3.2387 Å, c = 7.2364 Å
α = 102.93°, β = 102.93°, γ = 90.00°
With the nearest neighbours (Å) after each atom.
Sites, in units of the cell vectors:
1 Co 0.2500 0.7500 0.5000  4 Co 2.29, 4 Pd 2.53
2 Pd 0.6084 0.6084 0.2167  4 Co 2.53, 4 Ag 2.73
3 Ag 0.0000 0.0000 0.0000  8 Pd 2.73
4 Pd 0.3916 0.3916 0.7833  4 Co 2.53, 4 Ag 2.73
5 Co 0.7500 0.2500 0.5000  4 Co 2.29, 4 Pd 2.53

## Properties
Formation energy   1.7 eV per formula unit
Fermi-level density of states   4.91 states/eV/cell
Space group   I4/mmm, No. 139
Calculated density   10.114 g cm⁻³

6.
A plane-wave DFT calculation with GGA-PBEsol was carried out for a relaxed structure of MgMnInP2.

a = 4.2981 Å, b = 4.2981 Å, c = 5.1348 Å
α = 90.00°, β = 90.00°, γ = 90.00°
With the nearest neighbours (Å) after each atom.
Sites, in units of the cell vectors:
1 P 0.0000 0.5000 0.0000  2 Mn 2.15
2 Mn 0.0000 0.0000 0.0000  4 P 2.15
3 P 0.5000 0.0000 0.0000  2 Mn 2.15
4 In 0.0000 0.0000 0.5000  2 Mn 2.57
5 Mg 0.5000 0.5000 0.5000  4 In 3.04, 8 P 3.35

## Properties
Formation energy   1.0 eV per formula unit
Fermi-level density of states   3.13 states/eV/cell
Space group   P4/mmm, No. 123
Calculated density   4.482 g cm⁻³

7.
A plane-wave DFT calculation with GGA-PBEsol was carried out for a relaxed structure of LaHg2Br.

a = 4.2960 Å, b = 4.2960 Å, c = 5.4448 Å
α = 90.00°, β = 90.00°, γ = 90.00°
With the nearest neighbours (Å) after each atom.
Sites, in units of the cell vectors:
1 Br 0.0000 0.0000 0.5000  4 La 3.04
2 La 0.5000 0.5000 0.5000  4 Br 3.04
3 Hg 0.5000 0.0000 0.0000  4 Hg 3.04
4 Hg 0.0000 0.5000 0.0000  4 Hg 3.04

## Properties
Fermi-level density of states   3.00 states/eV/cell
ΔE to the lowest computed polymorph   0.000 eV per atom
Space group   P4/mmm, No. 123
Energy relative to the elements, uncorrected   -0.759 eV per atom
Calculated density   10.245 g cm⁻³

8.
A plane-wave DFT calculation with GGA-PBEsol was carried out for a relaxed structure of CdRuSe4.

a = 5.5340 Å, b = 5.5340 Å, c = 5.5340 Å
α = 60.00°, β = 60.00°, γ = 60.00°
With the nearest neighbours (Å) after each atom.
Sites, in units of the cell vectors:
1 Cd 0.7500 0.7500 0.7500  12 Se 3.25, 4 Ru 3.39
2 Se 0.8763 0.3746 0.3746  6 Se 2.76-2.78
3 Ru 0.0000 0.0000 0.0000  12 Se 3.24, 4 Cd 3.39
4 Se 0.3746 0.3746 0.3746  6 Se 2.76-2.78
5 Se 0.3746 0.8763 0.3746  6 Se 2.76-2.78
6 Se 0.3746 0.3746 0.8763  6 Se 2.76-2.78

## Properties
Fermi-level density of states   6.72 states/eV/cell
Space group   F-43m, No. 216
Energy relative to the elements, uncorrected   0.934 eV per atom
Calculated density   7.335 g cm⁻³

Number 1: size of the total moment 0.00 μB per cell. Number 2: size of the total moment 0.00 μB per cell. Number 3: size of the total moment 0.00 μB per cell. Number 4: size of the total moment 0.00 μB per cell. Number 5: size of the total moment 4.15 μB per cell. Number 6: size of the total moment 0.82 μB per cell. Number 7: size of the total moment 0.00 μB per cell. Number 8: size of the total moment 1.75 μB per cell.